(1)
DFT (PBE) results for a geometry-optimized Hf2Be9Os structure.

Properties
Total DFT energy (no corrections): -5.504 eV per atom
DOS at the Fermi energy: 4.44 states/eV/f.u.

a b c (Å): 7.6175 7.6175 7.6175
angles (deg): 34.52 34.52 34.52
Element x y z (fractional)
Hf 0.1401 0.1401 0.1401
Hf 0.8599 0.8599 0.8599
Be 0.0778 0.5765 0.5765
Be 0.3342 0.3342 0.3342
Be 0.4235 0.4235 0.9222
Be 0.4235 0.9222 0.4235
Be 0.5000 0.5000 0.5000
Be 0.5765 0.0778 0.5765
Be 0.5765 0.5765 0.0778
Be 0.6658 0.6658 0.6658
Be 0.9222 0.4235 0.4235
Os 0.0000 0.0000 0.0000

***

(2)
DFT (PBE) results for a geometry-optimized NaZrCuSe2 structure.

Properties
Total DFT energy (no corrections): -4.056 eV per atom
DOS at the Fermi energy: 3.31 states/eV/f.u.
Uncorrected formation energy: 130.5 meV per atom

a b c (Å): 4.9182 4.9182 4.4440
angles (deg): 90.00 90.00 90.00
Element x y z (fractional)
Na 0.0000 0.0000 0.0000
Zr 0.5000 0.5000 0.0000
Cu 0.0000 0.0000 0.5000
Se 0.0000 0.5000 0.5000
Se 0.5000 0.0000 0.5000

***

(3)
DFT (PBE) results for a geometry-optimized PmDy2GeN4 structure.

Properties
Total DFT energy (no corrections): -7.559 eV per atom
DOS at the Fermi energy: 0.90 states/eV/f.u.
Uncorrected formation energy: -1075.1 meV per atom

a b c (Å): 5.9808 5.9808 11.6287
angles (deg): 90.00 90.00 145.62
Element x y z (fractional)
Pm 0.1000 0.9000 0.7500
Pm 0.9000 0.1000 0.2500
Dy 0.3697 0.6303 0.5434
Dy 0.3697 0.6303 0.9566
Dy 0.6303 0.3697 0.0434
Dy 0.6303 0.3697 0.4566
Ge 0.1621 0.8379 0.2500
Ge 0.8379 0.1621 0.7500
N 0.0000 0.0000 0.0000
N 0.0000 0.0000 0.5000
N 0.2697 0.7303 0.1270
N 0.2697 0.7303 0.3730
N 0.4236 0.5764 0.7500
N 0.5764 0.4236 0.2500
N 0.7303 0.2697 0.6270
N 0.7303 0.2697 0.8730

***

(4)
DFT (PBE) results for a geometry-optimized DySn2HS4 structure.

Properties
Total DFT energy (no corrections): -4.586 eV per atom
DOS at the Fermi energy: 2.67 states/eV/f.u.

a b c (Å): 6.9440 3.9209 7.0481
angles (deg): 90.00 107.71 90.00
Element x y z (fractional)
Dy 0.0000 0.0000 0.0000
Sn 0.5000 0.0000 0.5000
Sn 0.5000 0.5000 0.0000
H 0.0000 0.5000 0.5000
S 0.2410 0.5000 0.2279
S 0.2627 0.0000 0.7776
S 0.7373 0.0000 0.2224
S 0.7590 0.5000 0.7721

***

(5)
DFT (PBE) results for a geometry-optimized MnCd2Ru structure.

Properties
Total DFT energy (no corrections): -4.755 eV per atom
DOS at the Fermi energy: 2.63 states/eV/f.u.
E above lowest polymorph: 0.155 eV/atom

a b c (Å): 6.4942 6.4942 6.4942
angles (deg): 90.00 90.00 90.00
Element x y z (fractional)
Mn 0.0000 0.0000 0.0000
Mn 0.0000 0.5000 0.5000
Mn 0.5000 0.0000 0.5000
Mn 0.5000 0.5000 0.0000
Cd 0.0000 0.0000 0.5000
Cd 0.0000 0.5000 0.0000
Cd 0.2500 0.2500 0.7500
Cd 0.2500 0.7500 0.2500
Cd 0.5000 0.0000 0.0000
Cd 0.5000 0.5000 0.5000
Cd 0.7500 0.2500 0.2500
Cd 0.7500 0.7500 0.7500
Ru 0.2500 0.2500 0.2500
Ru 0.2500 0.7500 0.7500
Ru 0.7500 0.2500 0.7500
Ru 0.7500 0.7500 0.2500

***

Number 1: density 8.24 g cm⁻³. Number 2: density 5.19 g cm⁻³. Number 3: density 8.46 g cm⁻³. Number 4: density 4.81 g cm⁻³. Number 5: density 9.24 g cm⁻³.